Entry 1:
DFT (PBE-GGA) results for an optimized crystal structure of Eu2HgP.

Output
Distance to the lowest polymorph of the same formula ... 0.016 eV/atom
DFT total energy ... -7.389 eV/atom

a b c (Å): 3.758 3.758 7.397
angles (deg): 90.00 90.00 90.00
Site moments in Bohr magnetons follow the coordinates.
Fractional coordinates of all 4 atoms:
Eu 0.000 0.000 0.787  6.82
Eu 0.000 0.000 0.213  6.82
P 0.500 0.500 0.000  -0.12
Hg 0.500 0.500 0.500  0.01



Entry 2:
DFT (PBE-GGA) results for an optimized crystal structure of EuHgP.

Output
DFT total energy ... -5.887 eV/atom

a b c (Å): 4.600 4.358 4.358
angles (deg): 120.00 90.00 90.00
Site moments in Bohr magnetons follow the coordinates.
Fractional coordinates of all 3 atoms:
Eu 0.696 0.667 0.333  6.77
P 0.043 0.000 0.000  -0.02
Hg 0.261 0.333 0.667  0.01



Entry 3:
DFT (PBE-GGA) results for an optimized crystal structure of Eu2HgP.

Output
Distance to the lowest polymorph of the same formula ... 0.135 eV/atom
DFT total energy ... -7.269 eV/atom

a b c (Å): 5.300 5.300 5.300
angles (deg): 60.00 60.00 60.00
Site moments in Bohr magnetons follow the coordinates.
Fractional coordinates of all 4 atoms:
Eu 0.250 0.250 0.250  6.93
Eu 0.750 0.750 0.750  6.93
P 0.500 0.500 0.500  -0.08
Hg 0.000 0.000 0.000  0.10



Entry 4:
DFT (PBE-GGA) results for an optimized crystal structure of EuPaHg2.

Output
DFT total energy ... -5.098 eV/atom

a b c (Å): 5.374 5.374 5.374
angles (deg): 60.00 60.00 60.00
Site moments in Bohr magnetons follow the coordinates.
Fractional coordinates of all 4 atoms:
Eu 0.500 0.500 0.500  -6.83
Pa 0.000 0.000 0.000  0.77
Hg 0.250 0.250 0.250  0.01
Hg 0.750 0.750 0.750  0.01



Entry 5:
DFT (PBE-GGA) results for an optimized crystal structure of EuPaHgPd.

Output
DFT total energy ... -6.479 eV/atom

a b c (Å): 5.198 5.198 5.198
angles (deg): 60.00 60.00 60.00
Site moments in Bohr magnetons follow the coordinates.
Fractional coordinates of all 4 atoms:
Eu 0.500 0.500 0.500  6.79
Pa 0.000 0.000 0.000  0.89
Hg 0.250 0.250 0.250  0.01
Pd 0.750 0.750 0.750  -0.03



Entry 6:
DFT (PBE-GGA) results for an optimized crystal structure of EuPaHgSb.

Output
DFT total energy ... -6.325 eV/atom
Uncorrected formation energy ... -276 meV per atom

a b c (Å): 5.390 5.390 5.390
angles (deg): 60.00 60.00 60.00
Site moments in Bohr magnetons follow the coordinates.
Fractional coordinates of all 4 atoms:
Eu 0.250 0.250 0.250  6.94
Sb 0.000 0.000 0.000  -0.02
Pa 0.750 0.750 0.750  1.55
Hg 0.500 0.500 0.500  0.07